{
  "formula": "BaNaNb",
  "functional": "PBE",
  "state": "relaxed",
  "dos_at_fermi_per_ev_fu": 4.60,
  "formation_energy_mev_per_atom": 2150,
  "rho_g_cm3": 1.80,
  "sg": "P6_3/mmc, No. 194",
  "e_above_lowest_polymorph_mev_per_atom": 1815,
  "lattice_angstrom": [[5.662, -3.269, 0.000], [0.000, 6.537, 0.000], [0.000, 0.000, 12.605]],
  "species": ["Na", "Na", "Nb", "Nb", "Ba", "Ba"],
  "frac_coords": [[0.333, 0.667, 0.250], [0.667, 0.333, 0.750], [0.000, 0.000, 0.000], [0.000, 0.000, 0.500], [0.000, 0.000, 0.750], [0.000, 0.000, 0.250]]
}